DFT (GGA-PBE) results for a relaxed YZrAl2 crystal.

Summary:
Space group: I4/mmm, No. 139
Energy relative to the elements (eV/f.u.): -1.394
Total energy (eV per atom): -5.97
Excess energy over the best structure of this formula in the dataset (meV/atom): 43

abc: 4.5189 4.5189 8.3005
angles: 90.00 90.00 90.00
Fractional coordinates of all 8 atoms:
Y  0.0000  0.0000  0.0000
Y  0.5000  0.5000  0.5000
Zr  0.0000  0.0000  0.5000
Zr  0.5000  0.5000  0.0000
Al  0.0000  0.5000  0.2500
Al  0.0000  0.5000  0.7500
Al  0.5000  0.0000  0.2500
Al  0.5000  0.0000  0.7500